Material: Mn2SiMo
Method: DFT, GGA-PBE
State: relaxed

Summary:
The uncorrected energy comes out at -106.08 eV per cell. The formation energy from raw total energies comes out at -0.192 eV per atom. The density of states at the Fermi level comes out at 11.36 states/eV/cell.

Unit cell a=4.6743 b=4.6743 c=7.7811 alpha=87.50 beta=87.50 gamma=61.28
Each line ends with the local moment (μB).
Positions (direct):
Mn1 0.0093 0.0093 0.5050  0.53
Mn2 0.9899 0.9899 0.9908  -0.07
Mn3 0.1830 0.1830 0.7516  0.79
Mn4 0.1932 0.6665 0.7426  -0.18
Mn5 0.6665 0.1932 0.7426  -0.18
Mn6 0.8149 0.8149 0.2719  0.01
Si1 0.8194 0.3233 0.2345  0.00
Si2 0.3233 0.8194 0.2345  0.00
Si3 0.6892 0.6892 0.5924  0.00
Mo1 0.3092 0.3092 0.4338  -0.08
Mo2 0.3272 0.3272 0.0623  -0.01
Mo3 0.6747 0.6747 0.9380  -0.02